1.
The following is a DFT calculation (PBE) of crystalline Be3HgIr at its relaxed geometry. Values from VASP.

Results
The electronic total energy is -3.730 eV/atom. The symmetry is Pm-3m (221). The calculation puts the density of states at the Fermi level at 1.6 states/eV/f.u. The energy of formation from the pure elements comes out at 1.69 eV per formula unit. The value obtained for the energy relative to the lowest polymorph listed for this composition is 0.00 eV per formula unit.

The structure in Quantum ESPRESSO input format:
```
&SYSTEM
  ibrav = 0, nat = 5, ntyp = 3
/
ATOMIC_SPECIES
Hg 200.59 Hg.upf
Be 9.01 Be.upf
Ir 192.22 Ir.upf
CELL_PARAMETERS angstrom
4.289 0.000 0.000
0.000 4.289 0.000
0.000 0.000 4.289
ATOMIC_POSITIONS crystal
Hg 0.500 0.500 0.500
Be 0.000 0.500 0.000
Be 0.000 0.000 0.500
Ir 0.000 0.000 0.000
Be 0.500 0.000 0.000
```



2.
The following is a DFT calculation (PBE) of crystalline SmDy6Sc at its relaxed geometry. Values from VASP.

Results
The electronic total energy is -4.804 eV/atom. The symmetry is P4/mmm (123). The calculation puts the density of states at the Fermi level at 9.4 states/eV/f.u. The energy of formation from the pure elements comes out at 0.23 eV per formula unit. The value obtained for the energy relative to the lowest polymorph listed for this composition is 0.00 eV per formula unit.

The structure in Quantum ESPRESSO input format:
```
&SYSTEM
  ibrav = 0, nat = 8, ntyp = 3
/
ATOMIC_SPECIES
Dy 162.50 Dy.upf
Sm 150.36 Sm.upf
Sc 44.96 Sc.upf
CELL_PARAMETERS angstrom
4.962 0.000 0.000
0.000 6.995 -0.788
0.000 0.787 6.995
ATOMIC_POSITIONS crystal
Dy 0.000 0.254 0.254
Sm 0.500 0.000 0.000
Sc 0.500 0.500 0.500
Dy 0.000 0.746 0.254
Dy 0.000 0.746 0.746
Dy 0.500 0.000 0.500
Dy 0.500 0.500 0.000
Dy 0.000 0.254 0.746
```



3.
The following is a DFT calculation (PBE) of crystalline Y2Er4H at its relaxed geometry. Values from VASP.

Results
The electronic total energy is -4.867 eV/atom. The symmetry is I4/mmm (139). The calculation puts the density of states at the Fermi level at 6.4 states/eV/f.u.

The structure in Quantum ESPRESSO input format:
```
&SYSTEM
  ibrav = 0, nat = 7, ntyp = 3
/
ATOMIC_SPECIES
Er 167.26 Er.upf
Y 88.91 Y.upf
H 1.01 H.upf
CELL_PARAMETERS angstrom
-1.922 4.363 -0.589
-2.812 -1.711 -3.499
-8.362 -0.542 3.688
ATOMIC_POSITIONS crystal
Er 0.146 0.146 0.708
Er 0.500 0.000 0.000
Er 0.854 0.854 0.292
Y 0.650 0.650 0.699
Y 0.350 0.350 0.301
H 0.000 0.000 0.000
Er 0.000 0.500 0.000
```



4.
The following is a DFT calculation (PBE) of crystalline Tb3PrHo2Bi6 at its relaxed geometry. Values from VASP.

Results
The electronic total energy is -5.133 eV/atom. The symmetry is C2/m (12). The calculation puts the density of states at the Fermi level at 2.0 states/eV/f.u. The energy of formation from the pure elements comes out at -10.49 eV per formula unit.

The structure in Quantum ESPRESSO input format:
```
&SYSTEM
  ibrav = 0, nat = 12, ntyp = 4
/
ATOMIC_SPECIES
Bi 208.98 Bi.upf
Tb 158.93 Tb.upf
Pr 140.91 Pr.upf
Ho 164.93 Ho.upf
CELL_PARAMETERS angstrom
-4.474 0.049 0.555
0.380 -8.174 3.786
3.252 6.049 7.374
ATOMIC_POSITIONS crystal
Bi 0.001 0.257 0.003
Bi 0.667 0.582 0.334
Tb 0.835 0.168 0.670
Bi 0.330 0.914 0.661
Pr 0.500 0.000 0.000
Ho 0.832 0.666 0.665
Bi 0.333 0.418 0.666
Bi 0.670 0.086 0.339
Tb 0.500 0.500 0.000
Ho 0.168 0.334 0.335
Tb 0.165 0.832 0.330
Bi 0.999 0.743 0.997
```



5.
The following is a DFT calculation (PBE) of crystalline HgPd4Pb5 at its relaxed geometry. Values from VASP.

Results
The electronic total energy is -4.121 eV/atom. The symmetry is C2/m (12). The calculation puts the density of states at the Fermi level at 4.2 states/eV/f.u. The energy of formation from the pure elements comes out at -1.59 eV per formula unit.

The structure in Quantum ESPRESSO input format:
```
&SYSTEM
  ibrav = 0, nat = 10, ntyp = 3
/
ATOMIC_SPECIES
Pd 106.42 Pd.upf
Pb 207.20 Pb.upf
Hg 200.59 Hg.upf
CELL_PARAMETERS angstrom
4.542 0.000 -1.442
-0.033 6.888 -0.104
-0.092 0.061 7.586
ATOMIC_POSITIONS crystal
Pd 0.660 0.750 0.319
Pb 0.832 0.514 0.664
Pb 0.500 0.500 0.000
Pd 0.999 0.763 0.998
Pd 0.340 0.250 0.681
Pb 0.833 0.999 0.666
Pd 0.001 0.237 0.002
Pb 0.167 0.001 0.334
Hg 0.500 0.000 0.000
Pb 0.168 0.486 0.336
```



6.
The following is a DFT calculation (PBE) of crystalline ErTm3Mg4 at its relaxed geometry. Values from VASP.

Results
The electronic total energy is -3.108 eV/atom. The symmetry is P4/mmm (123). The calculation puts the density of states at the Fermi level at 10.2 states/eV/f.u. The energy of formation from the pure elements comes out at -0.51 eV per formula unit. The value obtained for the energy relative to the lowest polymorph listed for this composition is 0.00 eV per formula unit.

The structure in Quantum ESPRESSO input format:
```
&SYSTEM
  ibrav = 0, nat = 8, ntyp = 3
/
ATOMIC_SPECIES
Tm 168.93 Tm.upf
Mg 24.30 Mg.upf
Er 167.26 Er.upf
CELL_PARAMETERS angstrom
-2.905 -0.893 2.204
0.507 -3.631 -0.803
9.307 -1.299 11.741
ATOMIC_POSITIONS crystal
Tm 0.500 0.500 0.250
Mg 0.000 0.000 0.874
Er 0.500 0.500 0.000
Tm 0.500 0.500 0.750
Mg 0.000 0.000 0.375
Mg 0.000 0.000 0.126
Tm 0.500 0.500 0.500
Mg 0.000 0.000 0.625
```



7.
The following is a DFT calculation (PBE) of crystalline MgTlOF2 at its relaxed geometry. Values from VASP.

Results
The electronic total energy is -3.723 eV/atom. The symmetry is P4/mmm (123). The calculation puts the density of states at the Fermi level at 1.8 states/eV/f.u. As for the raw formation energy: -1.191 eV/atom. The value obtained for the energy relative to the lowest polymorph listed for this composition is 4.99 eV per formula unit.

The structure in Quantum ESPRESSO input format:
```
&SYSTEM
  ibrav = 0, nat = 5, ntyp = 4
/
ATOMIC_SPECIES
O 16.00 O.upf
Mg 24.30 Mg.upf
F 19.00 F.upf
Tl 204.38 Tl.upf
CELL_PARAMETERS angstrom
4.577 0.000 0.000
0.000 4.577 0.000
0.000 0.000 4.247
ATOMIC_POSITIONS crystal
O 0.000 0.000 0.500
Mg 0.500 0.500 0.500
F 0.000 0.500 0.000
Tl 0.000 0.000 0.000
F 0.500 0.000 0.000
```



8.
The following is a DFT calculation (PBE) of crystalline AcNd3DyEr at its relaxed geometry. Values from VASP.

Results
The electronic total energy is -4.379 eV/atom. The symmetry is C2/m (12). The calculation puts the density of states at the Fermi level at 8.9 states/eV/f.u. The energy of formation from the pure elements comes out at 1.30 eV per formula unit.

The structure in Quantum ESPRESSO input format:
```
&SYSTEM
  ibrav = 0, nat = 12, ntyp = 4
/
ATOMIC_SPECIES
Ac 227.00 Ac.upf
Dy 162.50 Dy.upf
Er 167.26 Er.upf
Nd 144.24 Nd.upf
CELL_PARAMETERS angstrom
5.858 0.000 0.000
-2.929 10.304 1.632
0.000 -1.248 7.013
ATOMIC_POSITIONS crystal
Ac 0.353 0.706 0.968
Dy 0.059 0.118 0.303
Er 0.643 0.285 0.487
Nd 0.516 0.033 0.739
Nd 0.781 0.562 0.724
Er 0.357 0.715 0.513
Nd 0.484 0.967 0.261
Dy 0.941 0.882 0.697
Nd 0.160 0.320 0.741
Nd 0.840 0.680 0.259
Nd 0.219 0.438 0.276
Ac 0.647 0.294 0.032
```



Q: Look up the electronic total energy of the fourth one.
A: -5.133 eV/atom



Q: What is the electronic total energy in the third record?
A: -4.867 eV/atom



What did the sixth record say?
The following is a DFT calculation (PBE) of crystalline ErTm3Mg4 at its relaxed geometry. Values from VASP.

Results
The electronic total energy is -3.108 eV/atom. The symmetry is P4/mmm (123). The calculation puts the density of states at the Fermi level at 10.2 states/eV/f.u. The energy of formation from the pure elements comes out at -0.51 eV per formula unit. The value obtained for the energy relative to the lowest polymorph listed for this composition is 0.00 eV per formula unit.

The structure in Quantum ESPRESSO input format:
```
&SYSTEM
  ibrav = 0, nat = 8, ntyp = 3
/
ATOMIC_SPECIES
Tm 168.93 Tm.upf
Mg 24.30 Mg.upf
Er 167.26 Er.upf
CELL_PARAMETERS angstrom
-2.905 -0.893 2.204
0.507 -3.631 -0.803
9.307 -1.299 11.741
ATOMIC_POSITIONS crystal
Tm 0.500 0.500 0.250
Mg 0.000 0.000 0.874
Er 0.500 0.500 0.000
Tm 0.500 0.500 0.750
Mg 0.000 0.000 0.375
Mg 0.000 0.000 0.126
Tm 0.500 0.500 0.500
Mg 0.000 0.000 0.625
```



Q: Look up the electronic total energy of the third one.
A: -4.867 eV/atom